This record from the Open Quantum Materials Database describes a geometry-optimized DyPuCd structure. The functional is PBE.

Computed properties:
The value obtained for the calculated total energy is -5.98 eV/atom. The value obtained for the spin magnetization is 6.1 μB per cell. The energy relative to the elements is 1.7 eV per formula unit. For the volume, the calculation gives 29.80 Å³/atom.

abc: 5.0193 5.0193 5.0193
angles: 60.00 60.00 60.00
Last column: magnetic moment on the atom in μB.
Element x y z (fractional)
Pu (0.2500, 0.2500, 0.2500)  5.58
Dy (0.0000, 0.0000, 0.0000)  0.41
Cd (0.5000, 0.5000, 0.5000)  0.00